Cs2AgO | PBEsol | relaxed

Geometry as CIF:
```
data_Cs2AgO
_space_group_name_H-M_alt 'P 1'
_space_group_IT_number 1
_space_group_name_Hall 'P 1'
_cell_length_a 7.724
_cell_length_b 7.724
_cell_length_c 7.724
_cell_angle_alpha 90.00
_cell_angle_beta 90.00
_cell_angle_gamma 90.00
loop_
_atom_site_label
_atom_site_type_symbol
_atom_site_fract_x
_atom_site_fract_y
_atom_site_fract_z
_atom_site_occupancy
Cs1 Cs 0.250 0.250 0.250 1
Cs2 Cs 0.250 0.250 0.750 1
Cs3 Cs 0.250 0.750 0.250 1
Cs4 Cs 0.250 0.750 0.750 1
Cs5 Cs 0.750 0.250 0.250 1
Cs6 Cs 0.750 0.250 0.750 1
Cs7 Cs 0.750 0.750 0.250 1
Cs8 Cs 0.750 0.750 0.750 1
Ag1 Ag 0.000 0.000 0.000 1
Ag2 Ag 0.000 0.500 0.500 1
Ag3 Ag 0.500 0.000 0.500 1
Ag4 Ag 0.500 0.500 0.000 1
O1 O 0.000 0.000 0.500 1
O2 O 0.000 0.500 0.000 1
O3 O 0.500 0.000 0.000 1
O4 O 0.500 0.500 0.500 1
```

* raw formation energy: -0.18 eV per formula unit



Cs5Si3AgO9 | PBEsol | relaxed

Geometry as CIF:
```
data_Cs5Si3AgO9
_space_group_name_H-M_alt 'P 1'
_space_group_IT_number 1
_space_group_name_Hall 'P 1'
_cell_length_a 9.564
_cell_length_b 6.438
_cell_length_c 11.742
_cell_angle_alpha 90.00
_cell_angle_beta 93.04
_cell_angle_gamma 90.00
loop_
_atom_site_label
_atom_site_type_symbol
_atom_site_fract_x
_atom_site_fract_y
_atom_site_fract_z
_atom_site_occupancy
Cs1 Cs 0.035 0.250 0.393 1
Cs2 Cs 0.164 0.250 0.058 1
Cs3 Cs 0.232 0.750 0.862 1
Cs4 Cs 0.269 0.250 0.683 1
Cs5 Cs 0.456 0.250 0.383 1
Cs6 Cs 0.544 0.750 0.617 1
Cs7 Cs 0.731 0.750 0.317 1
Cs8 Cs 0.768 0.250 0.138 1
Cs9 Cs 0.836 0.750 0.942 1
Cs10 Cs 0.965 0.750 0.607 1
Si1 Si 0.061 0.750 0.205 1
Si2 Si 0.246 0.750 0.432 1
Si3 Si 0.382 0.750 0.201 1
Si4 Si 0.618 0.250 0.799 1
Si5 Si 0.754 0.250 0.568 1
Si6 Si 0.939 0.250 0.795 1
Ag1 Ag 0.500 0.000 0.000 1
Ag2 Ag 0.500 0.500 0.000 1
O1 O 0.022 0.039 0.830 1
O2 O 0.022 0.461 0.830 1
O3 O 0.100 0.750 0.346 1
O4 O 0.219 0.750 0.144 1
O5 O 0.255 0.538 0.505 1
O6 O 0.255 0.962 0.505 1
O7 O 0.378 0.750 0.341 1
O8 O 0.463 0.537 0.167 1
O9 O 0.463 0.963 0.167 1
O10 O 0.537 0.037 0.833 1
O11 O 0.537 0.463 0.833 1
O12 O 0.622 0.250 0.659 1
O13 O 0.745 0.038 0.495 1
O14 O 0.745 0.462 0.495 1
O15 O 0.781 0.250 0.856 1
O16 O 0.900 0.250 0.654 1
O17 O 0.978 0.539 0.170 1
O18 O 0.978 0.961 0.170 1
```

* raw formation energy: -39.54 eV per formula unit



Cs2AgOs | PBEsol | relaxed

Geometry as CIF:
```
data_Cs2AgOs
_space_group_name_H-M_alt 'P 1'
_space_group_IT_number 1
_space_group_name_Hall 'P 1'
_cell_length_a 8.211
_cell_length_b 8.211
_cell_length_c 8.211
_cell_angle_alpha 90.00
_cell_angle_beta 90.00
_cell_angle_gamma 90.00
loop_
_atom_site_label
_atom_site_type_symbol
_atom_site_fract_x
_atom_site_fract_y
_atom_site_fract_z
_atom_site_occupancy
Cs1 Cs 0.250 0.250 0.250 1
Cs2 Cs 0.250 0.250 0.750 1
Cs3 Cs 0.250 0.750 0.250 1
Cs4 Cs 0.250 0.750 0.750 1
Cs5 Cs 0.750 0.250 0.250 1
Cs6 Cs 0.750 0.250 0.750 1
Cs7 Cs 0.750 0.750 0.250 1
Cs8 Cs 0.750 0.750 0.750 1
Ag1 Ag 0.000 0.000 0.000 1
Ag2 Ag 0.000 0.500 0.500 1
Ag3 Ag 0.500 0.000 0.500 1
Ag4 Ag 0.500 0.500 0.000 1
Os1 Os 0.000 0.000 0.500 1
Os2 Os 0.000 0.500 0.000 1
Os3 Os 0.500 0.000 0.000 1
Os4 Os 0.500 0.500 0.500 1
```

* E_form: 1.652 eV per atom



CsZr2AgOs | PBEsol | relaxed

Geometry as CIF:
```
data_CsZr2AgOs
_space_group_name_H-M_alt 'P 1'
_space_group_IT_number 1
_space_group_name_Hall 'P 1'
_cell_length_a 4.999
_cell_length_b 4.999
_cell_length_c 5.479
_cell_angle_alpha 90.00
_cell_angle_beta 90.00
_cell_angle_gamma 90.00
loop_
_atom_site_label
_atom_site_type_symbol
_atom_site_fract_x
_atom_site_fract_y
_atom_site_fract_z
_atom_site_occupancy
Cs1 Cs 0.000 0.000 0.000 1
Zr1 Zr 0.000 0.500 0.500 1
Zr2 Zr 0.500 0.000 0.500 1
Ag1 Ag 0.500 0.500 0.000 1
Os1 Os 0.500 0.500 0.500 1
```

* E_form: 0.658 eV per atom



CsAgP3 | PBEsol | relaxed

Geometry as CIF:
```
data_CsAgP3
_space_group_name_H-M_alt 'P 1'
_space_group_IT_number 1
_space_group_name_Hall 'P 1'
_cell_length_a 5.317
_cell_length_b 5.317
_cell_length_c 5.317
_cell_angle_alpha 90.00
_cell_angle_beta 90.00
_cell_angle_gamma 90.00
loop_
_atom_site_label
_atom_site_type_symbol
_atom_site_fract_x
_atom_site_fract_y
_atom_site_fract_z
_atom_site_occupancy
Cs1 Cs 0.000 0.000 0.000 1
Ag1 Ag 0.500 0.500 0.500 1
P1 P 0.000 0.000 0.500 1
P2 P 0.000 0.500 0.000 1
P3 P 0.500 0.000 0.000 1
```

* E_form: 2.219 eV per atom



Cs2AgP | PBEsol | relaxed

Geometry as CIF:
```
data_Cs2AgP
_space_group_name_H-M_alt 'P 1'
_space_group_IT_number 1
_space_group_name_Hall 'P 1'
_cell_length_a 8.287
_cell_length_b 8.287
_cell_length_c 8.287
_cell_angle_alpha 90.00
_cell_angle_beta 90.00
_cell_angle_gamma 90.00
loop_
_atom_site_label
_atom_site_type_symbol
_atom_site_fract_x
_atom_site_fract_y
_atom_site_fract_z
_atom_site_occupancy
Cs1 Cs 0.250 0.250 0.250 1
Cs2 Cs 0.250 0.250 0.750 1
Cs3 Cs 0.250 0.750 0.250 1
Cs4 Cs 0.250 0.750 0.750 1
Cs5 Cs 0.750 0.250 0.250 1
Cs6 Cs 0.750 0.250 0.750 1
Cs7 Cs 0.750 0.750 0.250 1
Cs8 Cs 0.750 0.750 0.750 1
Ag1 Ag 0.000 0.000 0.000 1
Ag2 Ag 0.000 0.500 0.500 1
Ag3 Ag 0.500 0.000 0.500 1
Ag4 Ag 0.500 0.500 0.000 1
P1 P 0.000 0.000 0.500 1
P2 P 0.000 0.500 0.000 1
P3 P 0.500 0.000 0.000 1
P4 P 0.500 0.500 0.500 1
```

* E_form: 0.385 eV per atom



CsAg2P2 | PBEsol | relaxed

Geometry as CIF:
```
data_CsAg2P2
_space_group_name_H-M_alt 'P 1'
_space_group_IT_number 1
_space_group_name_Hall 'P 1'
_cell_length_a 4.673
_cell_length_b 4.673
_cell_length_c 9.757
_cell_angle_alpha 90.00
_cell_angle_beta 90.00
_cell_angle_gamma 90.00
loop_
_atom_site_label
_atom_site_type_symbol
_atom_site_fract_x
_atom_site_fract_y
_atom_site_fract_z
_atom_site_occupancy
Cs1 Cs 0.000 0.000 0.000 1
Cs2 Cs 0.500 0.500 0.500 1
Ag1 Ag 0.000 0.500 0.250 1
Ag2 Ag 0.000 0.500 0.750 1
Ag3 Ag 0.500 0.000 0.250 1
Ag4 Ag 0.500 0.000 0.750 1
P1 P 0.000 0.000 0.387 1
P2 P 0.000 0.000 0.613 1
P3 P 0.500 0.500 0.113 1
P4 P 0.500 0.500 0.887 1
```

* E_form: -0.040 eV per atom



CsAgPSe3 | PBEsol | relaxed

Geometry as CIF:
```
data_CsAgPSe3
_space_group_name_H-M_alt 'P 1'
_space_group_IT_number 1
_space_group_name_Hall 'P 1'
_cell_length_a 6.761
_cell_length_b 12.213
_cell_length_c 10.295
_cell_angle_alpha 90.00
_cell_angle_beta 125.30
_cell_angle_gamma 90.00
loop_
_atom_site_label
_atom_site_type_symbol
_atom_site_fract_x
_atom_site_fract_y
_atom_site_fract_z
_atom_site_occupancy
Cs1 Cs 0.233 0.167 0.488 1
Cs2 Cs 0.233 0.333 0.988 1
Cs3 Cs 0.767 0.667 0.012 1
Cs4 Cs 0.767 0.833 0.512 1
Ag1 Ag 0.188 0.559 0.639 1
Ag2 Ag 0.188 0.941 0.139 1
Ag3 Ag 0.812 0.059 0.861 1
Ag4 Ag 0.812 0.441 0.361 1
P1 P 0.345 0.542 0.385 1
P2 P 0.345 0.958 0.885 1
P3 P 0.655 0.042 0.115 1
P4 P 0.655 0.458 0.615 1
Se1 Se 0.062 0.085 0.751 1
Se2 Se 0.062 0.415 0.251 1
Se3 Se 0.242 0.686 0.462 1
Se4 Se 0.242 0.814 0.962 1
Se5 Se 0.487 0.594 0.250 1
Se6 Se 0.487 0.906 0.750 1
Se7 Se 0.513 0.094 0.250 1
Se8 Se 0.513 0.406 0.750 1
Se9 Se 0.758 0.186 0.038 1
Se10 Se 0.758 0.314 0.538 1
Se11 Se 0.938 0.585 0.749 1
Se12 Se 0.938 0.915 0.249 1
```

* raw formation energy: -2.99 eV per formula unit



CsAg3Pb | PBEsol | relaxed

Geometry as CIF:
```
data_CsAg3Pb
_space_group_name_H-M_alt 'P 1'
_space_group_IT_number 1
_space_group_name_Hall 'P 1'
_cell_length_a 5.683
_cell_length_b 5.683
_cell_length_c 5.683
_cell_angle_alpha 90.00
_cell_angle_beta 90.00
_cell_angle_gamma 90.00
loop_
_atom_site_label
_atom_site_type_symbol
_atom_site_fract_x
_atom_site_fract_y
_atom_site_fract_z
_atom_site_occupancy
Cs1 Cs 0.000 0.000 0.000 1
Ag1 Ag 0.000 0.000 0.500 1
Ag2 Ag 0.000 0.500 0.000 1
Ag3 Ag 0.500 0.000 0.000 1
Pb1 Pb 0.500 0.500 0.500 1
```

* E_form: 1.376 eV per atom



CsZr2AgPb | PBEsol | relaxed

Geometry as CIF:
```
data_CsZr2AgPb
_space_group_name_H-M_alt 'P 1'
_space_group_IT_number 1
_space_group_name_Hall 'P 1'
_cell_length_a 5.600
_cell_length_b 5.600
_cell_length_c 5.416
_cell_angle_alpha 90.00
_cell_angle_beta 90.00
_cell_angle_gamma 90.00
loop_
_atom_site_label
_atom_site_type_symbol
_atom_site_fract_x
_atom_site_fract_y
_atom_site_fract_z
_atom_site_occupancy
Cs1 Cs 0.000 0.000 0.000 1
Zr1 Zr 0.000 0.500 0.500 1
Zr2 Zr 0.500 0.000 0.500 1
Ag1 Ag 0.500 0.500 0.000 1
Pb1 Pb 0.500 0.500 0.500 1
```

* E_form: 1.107 eV per atom



CsPr2Ag3Te5 | PBEsol | relaxed

Geometry as CIF:
```
data_CsPr2Ag3Te5
_space_group_name_H-M_alt 'P 1'
_space_group_IT_number 1
_space_group_name_Hall 'P 1'
_cell_length_a 8.304
_cell_length_b 8.304
_cell_length_c 18.650
_cell_angle_alpha 90.00
_cell_angle_beta 90.00
_cell_angle_gamma 147.97
loop_
_atom_site_label
_atom_site_type_symbol
_atom_site_fract_x
_atom_site_fract_y
_atom_site_fract_z
_atom_site_occupancy
Cs1 Cs 0.058 0.942 0.750 1
Cs2 Cs 0.942 0.058 0.250 1
Pr1 Pr 0.190 0.810 0.092 1
Pr2 Pr 0.190 0.810 0.408 1
Pr3 Pr 0.810 0.190 0.592 1
Pr4 Pr 0.810 0.190 0.908 1
Ag1 Ag 0.340 0.660 0.750 1
Ag2 Ag 0.411 0.589 0.026 1
Ag3 Ag 0.411 0.589 0.474 1
Ag4 Ag 0.589 0.411 0.526 1
Ag5 Ag 0.589 0.411 0.974 1
Ag6 Ag 0.660 0.340 0.250 1
Te1 Te 0.170 0.830 0.575 1
Te2 Te 0.170 0.830 0.925 1
Te3 Te 0.256 0.744 0.250 1
Te4 Te 0.444 0.556 0.621 1
Te5 Te 0.444 0.556 0.879 1
Te6 Te 0.556 0.444 0.121 1
Te7 Te 0.556 0.444 0.379 1
Te8 Te 0.744 0.256 0.750 1
Te9 Te 0.830 0.170 0.075 1
Te10 Te 0.830 0.170 0.425 1
```

* raw formation energy: -9.80 eV per formula unit



CsAg2Pt | PBEsol | relaxed

Geometry as CIF:
```
data_CsAg2Pt
_space_group_name_H-M_alt 'P 1'
_space_group_IT_number 1
_space_group_name_Hall 'P 1'
_cell_length_a 7.062
_cell_length_b 7.062
_cell_length_c 7.062
_cell_angle_alpha 90.00
_cell_angle_beta 90.00
_cell_angle_gamma 90.00
loop_
_atom_site_label
_atom_site_type_symbol
_atom_site_fract_x
_atom_site_fract_y
_atom_site_fract_z
_atom_site_occupancy
Cs1 Cs 0.000 0.000 0.000 1
Cs2 Cs 0.000 0.500 0.500 1
Cs3 Cs 0.500 0.000 0.500 1
Cs4 Cs 0.500 0.500 0.000 1
Ag1 Ag 0.250 0.250 0.250 1
Ag2 Ag 0.250 0.250 0.750 1
Ag3 Ag 0.250 0.750 0.250 1
Ag4 Ag 0.250 0.750 0.750 1
Ag5 Ag 0.750 0.250 0.250 1
Ag6 Ag 0.750 0.250 0.750 1
Ag7 Ag 0.750 0.750 0.250 1
Ag8 Ag 0.750 0.750 0.750 1
Pt1 Pt 0.000 0.000 0.500 1
Pt2 Pt 0.000 0.500 0.000 1
Pt3 Pt 0.500 0.000 0.000 1
Pt4 Pt 0.500 0.500 0.500 1
```

* E_form: 0.646 eV per atom



| no. | E_tot (eV for the cell shown) |
| --- | --- |
| 1 | -42.49 |
| 2 | -224.10 |
| 3 | -43.22 |
| 4 | -31.36 |
| 5 | -10.53 |
| 6 | -37.79 |
| 7 | -38.69 |
| 8 | -98.35 |
| 9 | -8.00 |
| 10 | -20.89 |
| 11 | -97.35 |
| 12 | -47.78 |